First-principles (PBE) data for CeScIr after structural relaxation, as listed in Alexandria.

DFT formation energy (eV per atom): -0.530
Offset from the most stable computed form (eV per formula unit): 0.347
Space-group type: No. 107
Density of states at the Fermi level (states/eV/cell): 4.31
Volume (Å³/cell): 67

Geometry as POSCAR:
```
CeScIr
1.0
-1.469 1.864 2.109
-2.346 -2.125 0.244
5.142 -2.877 3.734
Sc Ce Ir
1 1 1
Direct
0.037 0.037 0.073
0.309 0.309 0.618
0.655 0.655 0.309
```



First-principles (PBE) data for AgSeS3 after structural relaxation, as listed in Alexandria.

Offset from the most stable computed form (eV per formula unit): 0.000
Space-group type: No. 1
Density of states at the Fermi level (states/eV/cell): 2.05
ΔE_f (raw) (eV/atom): 0.099
Volume (Å³/cell): 276

Geometry as POSCAR:
```
AgSeS3
1.0
-0.170 3.993 -1.048
-1.930 -5.476 -8.422
-6.118 1.825 3.923
Ag S Se
2 6 2
Direct
0.937 0.778 0.874
0.450 0.537 0.349
0.590 0.078 0.218
0.699 0.368 0.909
0.561 0.950 0.933
0.494 0.939 0.380
0.029 0.351 0.684
0.883 0.390 0.168
0.315 0.592 0.718
0.786 0.779 0.259
```